Mg2ZnBr: relaxed, GGA-PBE.

The space group is C2/m (No. 12) and the conventional cell measures 6.4372, 8.2922 and 3.4550 Å, with angles of 90.00, 104.15 and 90.00 degrees. Symmetry generates all atoms from Mg at (0.2500, 0.2500, 0.0000), Zn at (0.0000, 0.0000, 0.5000) and Br at (0.0000, 0.5000, 0.5000).

The density of states at the Fermi level is 2.8 states/eV/cell. For the volume, the calculation gives 22.35 Å³/atom. Its crystal system is monoclinic. The formation energy (no corrections) is -0.17 eV/atom. The energy above the most stable polymorph in this dataset is 0.204 eV per atom.